Below is a relaxed structure of DyTaIr, with properties calculated at the PBE-GGA level.

## Properties
The mass density comes out at 14.18 g/cm3. The calculation puts the electronic total energy at -8.86 eV per atom. The value obtained for the total magnetic moment is 0.00 Bohr magnetons per cell.

a b c (Å): 8.528 8.528 8.528
angles (deg): 153.24 153.24 38.20
Fractional positions:
Dy 0.176 0.176 0.000
Dy 0.824 0.824 0.000
Ta 0.000 0.500 0.500
Ta 0.500 0.000 0.500
Ir 0.376 0.376 0.000
Ir 0.624 0.624 0.000